VASP calculation (PBE) on a relaxed structure of Rb3La3PaTe8.

Cell lengths 9.3551, 9.3551, 26.0385 Å; angles 90.00, 90.00, 120.00 degrees
Space group R-3m (No. 166, hexagonal axes)
Unique sites:
Rb1 0.0000 0.5000 0.0000
La1 0.0000 0.5000 0.5000
Pa1 0.0000 0.0000 0.5000
Te1 0.0000 0.0000 0.2354
Te2 0.0121 0.5060 0.2329

## Properties
The uncorrected formation energy comes out at -1.35 eV/atom. As for the crystal system: trigonal. For the energy, the calculation gives -217.852 eV for the cell shown.